No. 1
A geometry-optimized LiCaTe2 structure, computed with PBE-GGA. Values from VASP.

```
&SYSTEM
  ibrav = 0, nat = 4, ntyp = 3
/
ATOMIC_SPECIES
Ca 40.08 Ca.upf
Li 6.94 Li.upf
Te 127.60 Te.upf
CELL_PARAMETERS angstrom
-4.069 4.732 -2.217
-2.464 0.281 -6.141
0.842 -4.168 5.077
ATOMIC_POSITIONS angstrom
Ca -3.268 2.507 -4.180
Li -2.442 -0.692 -2.619
Te 0.000 0.000 -0.001
Te -3.247 1.535 -0.660
```

=====

No. 2
A geometry-optimized BAs structure, computed with PBE-GGA. Values from VASP.

Summary:
Energy of formation   244 meV/atom

```
&SYSTEM
  ibrav = 0, nat = 12, ntyp = 2
/
ATOMIC_SPECIES
B 10.81 B.upf
As 74.92 As.upf
CELL_PARAMETERS angstrom
8.300 0.000 0.000
-4.150 7.188 0.000
0.000 0.000 3.455
ATOMIC_POSITIONS angstrom
B 5.209 0.572 0.864
B 2.109 4.798 2.591
B 5.200 4.225 0.864
B -1.059 6.616 2.591
B 2.041 2.391 0.864
B -1.050 2.963 2.591
As 6.246 2.345 0.864
As 1.092 6.582 2.591
As 3.146 4.237 0.864
As -2.096 4.843 2.591
As 3.058 0.606 0.864
As 1.004 2.951 2.591
```

=====

No. 3
A geometry-optimized Sm8Dy6Mg structure, computed with PBE-GGA. Values from VASP.

Summary:
Energy of formation   139 meV/atom

```
&SYSTEM
  ibrav = 0, nat = 15, ntyp = 3
/
ATOMIC_SPECIES
Sm 150.36 Sm.upf
Dy 162.50 Dy.upf
Mg 24.30 Mg.upf
CELL_PARAMETERS angstrom
6.438 0.000 0.000
0.000 8.116 -4.686
0.000 0.000 9.372
ATOMIC_POSITIONS angstrom
Sm 5.289 0.303 2.381
Sm 5.289 5.902 3.758
Sm 5.289 1.910 7.918
Sm 1.149 7.813 2.305
Sm 1.149 2.214 0.928
Sm 1.149 6.206 -3.233
Sm 5.491 2.705 4.686
Sm 0.947 5.411 0.000
Dy 4.314 5.251 -2.153
Dy 4.314 7.355 0.938
Dy 4.314 3.626 1.214
Dy 2.124 2.865 6.839
Dy 2.124 0.761 3.747
Dy 2.124 4.490 3.471
Mg 3.219 0.000 0.000
```

=====

No. 4
A geometry-optimized Pr5Sm structure, computed with PBE-GGA. Values from VASP.

Summary:
Energy of formation   12 meV/atom
Excess energy over the best structure of this formula in the dataset   0 meV/atom

```
&SYSTEM
  ibrav = 0, nat = 6, ntyp = 2
/
ATOMIC_SPECIES
Pr 140.91 Pr.upf
Sm 150.36 Sm.upf
CELL_PARAMETERS angstrom
-3.682 -1.248 -3.507
1.834 -4.891 -0.185
-5.780 0.401 5.926
ATOMIC_POSITIONS angstrom
Pr -0.696 -3.123 1.842
Pr -3.250 -1.366 3.899
Pr -0.924 -3.069 -1.846
Pr -3.458 -1.304 0.186
Pr -4.170 -4.434 2.048
Sm 0.000 0.000 0.000
```

=====

No. 5
A geometry-optimized La2ZrB structure, computed with PBE-GGA. Values from VASP.

Summary:
Energy of formation   303 meV/atom

```
&SYSTEM
  ibrav = 0, nat = 8, ntyp = 3
/
ATOMIC_SPECIES
B 10.81 B.upf
Zr 91.22 Zr.upf
La 138.91 La.upf
CELL_PARAMETERS angstrom
-1.463 9.347 2.476
-8.283 -2.503 4.557
-3.675 3.082 5.508
ATOMIC_POSITIONS angstrom
B -4.873 3.422 3.516
B -8.415 2.000 6.791
Zr 0.000 0.000 0.000
Zr -5.005 7.926 5.750
La -2.662 4.982 3.145
La -6.485 1.692 4.884
La -7.578 4.525 7.411
La -10.116 8.653 9.642
```

=====

No. 6
A geometry-optimized DyTi2Cr structure, computed with PBE-GGA. Values from VASP.

Summary:
Energy of formation   156 meV/atom

```
&SYSTEM
  ibrav = 0, nat = 4, ntyp = 3
/
ATOMIC_SPECIES
Cr 52.00 Cr.upf
Ti 47.87 Ti.upf
Dy 162.50 Dy.upf
CELL_PARAMETERS angstrom
3.132 0.000 0.000
0.000 3.132 0.000
0.000 0.000 7.631
ATOMIC_POSITIONS angstrom
Cr 1.566 1.566 0.000
Ti 0.000 0.000 6.254
Ti 0.000 0.000 1.377
Dy 1.566 1.566 3.816
```

=====

What are the E_tot values for these records? In order: -3.47; -5.42; -4.32; -4.76; -5.97; -7.35 eV per atom.